NbNi5Rh2: optimized geometry, PBE-GGA.

Cell: 4.4635 6.8309 7.2747 Å, 104.56 107.78 90.04°
Last column: nearest neighbours and their distance in Å.
Fractional positions:
Nb1 0.0000 0.0000 0.5000  6 Ni 2.48-2.62, 2 Rh 2.70
Nb2 0.5000 0.5000 0.5000  6 Ni 2.48-2.62, 2 Rh 2.70
Ni1 0.6100 0.5697 0.8873  7 Ni 2.52-2.63, 4 Rh 2.59-2.71, 1 Nb 2.62
Ni2 0.1552 0.7500 0.0002  8 Ni 2.41-2.63, 4 Rh 2.66-2.69
Ni3 0.8448 0.2500 0.9998  8 Ni 2.41-2.63, 4 Rh 2.66-2.69
Ni4 0.1424 0.7038 0.6588  3 Ni 2.41-2.58, 2 Nb 2.48-2.56, 4 Rh 2.50-2.68
Ni5 0.8576 0.2962 0.3412  3 Ni 2.41-2.58, 2 Nb 2.48-2.56, 4 Rh 2.50-2.68
Ni6 0.5172 0.2031 0.6583  3 Ni 2.41-2.59, 2 Nb 2.48-2.56, 4 Rh 2.50-2.68
Ni7 0.4828 0.7969 0.3417  3 Ni 2.41-2.59, 2 Nb 2.48-2.56, 4 Rh 2.50-2.68
Ni8 0.3900 0.4303 0.1127  7 Ni 2.52-2.63, 4 Rh 2.59-2.71, 1 Nb 2.62
Ni9 0.2779 0.0699 0.8871  7 Ni 2.52-2.63, 4 Rh 2.59-2.71, 1 Nb 2.62
Ni10 0.7221 0.9301 0.1129  7 Ni 2.52-2.63, 4 Rh 2.59-2.71, 1 Nb 2.62
Rh1 0.0529 0.3794 0.7409  10 Ni 2.50-2.71, 1 Nb 2.70
Rh2 0.6892 0.8791 0.7414  10 Ni 2.50-2.71, 1 Nb 2.70
Rh3 0.9471 0.6206 0.2591  10 Ni 2.50-2.71, 1 Nb 2.70
Rh4 0.3108 0.1209 0.2586  10 Ni 2.50-2.71, 1 Nb 2.70

Output
SG: No. 2
Spin magnetization (μB per formula unit): 1.5
E_form (eV/f.u.): -0.61
Energy (eV/atom): -6.786
ρ (g/cm3): 9.65